Version i
Entry from Alexandria: a geometry-optimized TbPmZnPd structure (PBE).

Summary:
**Total moment**: 0.00 μB per formula unit
**N(E_F)**: 2.589 states/eV/cell

a b c (Å): 5.0828 5.0828 5.0828
angles (deg): 60.00 60.00 60.00
Last column: nearest neighbours and their distance in Å.
Element x y z (fractional)
Zn 0.0000 0.0000 0.0000  4 Tb 3.11, 4 Pm 3.11
Tb 0.7500 0.7500 0.7500  4 Zn 3.11, 4 Pd 3.11
Pd 0.5000 0.5000 0.5000  4 Pm 3.11, 4 Tb 3.11
Pm 0.2500 0.2500 0.2500  4 Pd 3.11, 4 Zn 3.11

***

Version ii
Entry from Alexandria: a geometry-optimized TbPmZnPd structure (PBE).

Summary:
**Total moment**: 0.00 μB per formula unit
**N(E_F)**: 3.544 states/eV/cell

a b c (Å): 3.6131 3.6131 7.0979
angles (deg): 90.00 90.00 90.00
Last column: nearest neighbours and their distance in Å.
Element x y z (fractional)
Tb 0.0000 0.0000 0.3500  4 Pd 3.02, 4 Zn 3.09
Pm 0.0000 0.0000 0.8604  4 Pd 3.16, 4 Zn 3.17, 1 Tb 3.47
Zn 0.5000 0.5000 0.5954  4 Tb 3.09, 4 Pm 3.17, 1 Pd 3.36
Pd 0.5000 0.5000 0.1222  4 Tb 3.02, 4 Pm 3.16, 1 Zn 3.36

***

Least stable: version i

***

Version i
Entry from Alexandria: a geometry-optimized Pm2TcPd structure (PBE).

Summary:
**Total moment**: 0.00 μB per formula unit
**N(E_F)**: 3.879 states/eV/cell

a b c (Å): 3.5753 3.5753 7.0070
angles (deg): 90.00 90.00 90.00
Last column: nearest neighbours and their distance in Å.
Element x y z (fractional)
Tc 0.5000 0.5000 0.0000  8 Pm 3.04
Pd 0.5000 0.5000 0.5000  8 Pm 3.11
Pm 0.0000 0.0000 0.7578  4 Tc 3.04, 4 Pd 3.11, 1 Pm 3.39
Pm 0.0000 0.0000 0.2422  4 Tc 3.04, 4 Pd 3.11, 1 Pm 3.39

***

Version ii
Entry from Alexandria: a geometry-optimized Pm2TcPd structure (PBE).

Summary:
**Total moment**: 0.00 μB per formula unit
**N(E_F)**: 2.670 states/eV/cell

a b c (Å): 5.0083 5.0083 5.0083
angles (deg): 60.00 60.00 60.00
Last column: nearest neighbours and their distance in Å.
Element x y z (fractional)
Tc 0.0000 0.0000 0.0000  8 Pm 3.07
Pd 0.5000 0.5000 0.5000  8 Pm 3.07
Pm 0.2500 0.2500 0.2500  4 Tc 3.07, 4 Pd 3.07
Pm 0.7500 0.7500 0.7500  4 Tc 3.07, 4 Pd 3.07

***

Least stable: version ii

***

Version i
Entry from Alexandria: a geometry-optimized Pm2TePd structure (PBE).

Summary:
**Total moment**: 0.00 μB per formula unit
**N(E_F)**: 1.169 states/eV/cell

a b c (Å): 4.2521 4.2521 7.9426
angles (deg): 74.47 74.47 60.00
Last column: nearest neighbours and their distance in Å.
Element x y z (fractional)
Pm 0.0711 0.0711 0.7867  3 Pd 2.94, 3 Te 3.27
Pm 0.2625 0.2625 0.2126  3 Pd 2.93, 3 Te 3.28
Te 0.4998 0.4998 0.5006  6 Pm 3.27-3.28
Pd 0.6666 0.6666 0.0002  6 Pm 2.93-2.94

***

Version ii
Entry from Alexandria: a geometry-optimized Pm2TePd structure (PBE).

Summary:
**Total moment**: 0.00 μB per formula unit
**N(E_F)**: 2.183 states/eV/cell

a b c (Å): 4.2340 4.2340 7.9304
angles (deg): 74.52 74.52 60.00
Last column: nearest neighbours and their distance in Å.
Element x y z (fractional)
Te 0.0000 0.0000 0.0000  6 Pm 3.24
Pd 0.5000 0.5000 0.5000  6 Pm 2.95
Pm 0.2394 0.2394 0.2819  3 Pd 2.95, 3 Te 3.24
Pm 0.7606 0.7606 0.7181  3 Pd 2.95, 3 Te 3.24

***

Least stable: version i

***

Version i
Entry from Alexandria: a geometry-optimized Pm2TePd structure (PBE).

Summary:
**Total moment**: 0.00 μB per formula unit
**N(E_F)**: 5.806 states/eV/cell

a b c (Å): 4.6444 4.1049 11.9300
angles (deg): 99.91 90.00 90.00
Last column: nearest neighbours and their distance in Å.
Element x y z (fractional)
Pm 0.7500 0.6690 0.3380  1 Pd 3.05, 5 Te 3.15-3.24
Pm 0.2500 0.3310 0.6620  1 Pd 3.05, 5 Te 3.15-3.24
Pm 0.7500 0.9418 0.8835  6 Pd 3.08-3.13, 1 Te 3.18
Pm 0.2500 0.0582 0.1165  6 Pd 3.08-3.13, 1 Te 3.18
Te 0.2500 0.1933 0.3867  6 Pm 3.15-3.24
Te 0.7500 0.8067 0.6133  6 Pm 3.15-3.24
Pd 0.2500 0.4608 0.9216  2 Pd 2.96, 7 Pm 3.05-3.13
Pd 0.7500 0.5392 0.0784  2 Pd 2.96, 7 Pm 3.05-3.13

***

Version ii
Entry from Alexandria: a geometry-optimized Pm2TePd structure (PBE).

Summary:
**Total moment**: 1.54 μB per formula unit
**N(E_F)**: 3.854 states/eV/cell

a b c (Å): 5.2945 5.2945 5.2945
angles (deg): 60.00 60.00 60.00
Last column: nearest neighbours and their distance in Å.
Element x y z (fractional)
Te 0.5000 0.5000 0.5000  8 Pm 3.24
Pd 0.0000 0.0000 0.0000  8 Pm 3.24
Pm 0.2500 0.2500 0.2500  4 Te 3.24, 4 Pd 3.24
Pm 0.7500 0.7500 0.7500  4 Te 3.24, 4 Pd 3.24

***

Version iii
Entry from Alexandria: a geometry-optimized Pm2TePd structure (PBE).

Summary:
**Total moment**: 0.01 μB per formula unit
**N(E_F)**: 3.694 states/eV/cell

a b c (Å): 3.7924 3.7924 7.2847
angles (deg): 90.00 90.00 90.00
Last column: nearest neighbours and their distance in Å.
Element x y z (fractional)
Te 0.5000 0.5000 0.5000  8 Pm 3.31, 2 Pd 3.64
Pd 0.5000 0.5000 0.0000  8 Pm 3.17
Pm 0.0000 0.0000 0.7669  4 Pd 3.17, 4 Te 3.31, 1 Pm 3.40
Pm 0.0000 0.0000 0.2331  4 Pd 3.17, 4 Te 3.31, 1 Pm 3.40

***

Least stable: version ii

***

Version i
Entry from Alexandria: a geometry-optimized PmTh2Pd structure (PBE).

Summary:
**Total moment**: 0.00 μB per formula unit
**N(E_F)**: 4.600 states/eV/cell

a b c (Å): 3.6868 3.6868 8.4169
angles (deg): 90.00 90.00 90.00
Last column: nearest neighbours and their distance in Å.
Element x y z (fractional)
Pd 0.5000 0.5000 0.0000  8 Th 3.13
Th 0.0000 0.0000 0.7938  4 Pd 3.13, 1 Th 3.47
Th 0.0000 0.0000 0.2062  4 Pd 3.13, 1 Th 3.47
Pm 0.5000 0.5000 0.5000  8 Th 3.59, 4 Pm 3.69

***

Version ii
Entry from Alexandria: a geometry-optimized PmTh2Pd structure (PBE).

Summary:
**Total moment**: 0.00 μB per formula unit
**N(E_F)**: 6.671 states/eV/cell

a b c (Å): 3.7495 3.7495 10.1100
angles (deg): 79.31 79.31 60.00
Last column: nearest neighbours and their distance in Å.
Element x y z (fractional)
Pm 0.4985 0.4985 0.5045  6 Th 3.59-3.65, 6 Pm 3.75
Th 0.0687 0.0687 0.7940  3 Pd 2.94
Th 0.2645 0.2645 0.2064  3 Pd 3.01
Pd 0.6683 0.6683 0.9951  6 Th 2.94-3.01

***

Least stable: version ii

***

Version i
Entry from Alexandria: a geometry-optimized PmTh2Pd2 structure (PBE).

Summary:
**Total moment**: 0.00 μB per formula unit
**N(E_F)**: 6.362 states/eV/cell

a b c (Å): 6.3268 6.3266 7.0107
angles (deg): 123.63 123.63 101.38
Last column: nearest neighbours and their distance in Å.
Element x y z (fractional)
Pm 0.0000 0.0000 0.0000  4 Pd 2.88
Th 0.1956 0.8044 0.5000  4 Pd 3.06
Th 0.8044 0.1956 0.5000  4 Pd 3.06
Pd 0.5004 0.5004 0.1977  1 Pd 2.77, 2 Pm 2.88, 4 Th 3.06
Pd 0.4996 0.4996 0.8023  1 Pd 2.77, 2 Pm 2.88, 4 Th 3.06

***

Version ii
Entry from Alexandria: a geometry-optimized PmTh2Pd2 structure (PBE).

Summary:
**Total moment**: 0.00 μB per formula unit
**N(E_F)**: 12.231 states/eV/cell

a b c (Å): 3.8330 8.2241 8.2241
angles (deg): 90.00 90.00 90.00
Last column: nearest neighbours and their distance in Å.
Element x y z (fractional)
Pm 0.0000 0.0000 0.0000  4 Pd 3.25, 8 Th 3.61
Pm 0.0000 0.5000 0.5000  4 Pd 3.25, 8 Th 3.61
Th 0.5000 0.1693 0.6693  6 Pd 3.06-3.11
Th 0.5000 0.6693 0.8307  6 Pd 3.06-3.11
Th 0.5000 0.8307 0.3307  6 Pd 3.06-3.11
Th 0.5000 0.3307 0.1693  6 Pd 3.06-3.11
Pd 0.0000 0.3745 0.8745  1 Pd 2.92, 6 Th 3.06-3.11, 2 Pm 3.25
Pd 0.0000 0.8745 0.6255  1 Pd 2.92, 6 Th 3.06-3.11, 2 Pm 3.25
Pd 0.0000 0.6255 0.1255  1 Pd 2.92, 6 Th 3.06-3.11, 2 Pm 3.25
Pd 0.0000 0.1255 0.3745  1 Pd 2.92, 6 Th 3.06-3.11, 2 Pm 3.25

***

Least stable: version i